! MnTl3F4, optimized geometry, DFT PBE+U; values from VASP
! theoretical density: 6.08 g/cm³
! energy: -35.86 eV per cell
&SYSTEM
  ibrav = 0, nat = 8, ntyp = 3
/
ATOMIC_SPECIES
Tl 204.38 Tl.upf
F 19.00 F.upf
Mn 54.94 Mn.upf
CELL_PARAMETERS angstrom
6.0253 -2.0523 -4.7906
-4.3552 6.3597 2.0129
-1.4055 2.0523 7.5682
ATOMIC_POSITIONS crystal
Tl 0.5000 0.2500 0.7500
Tl 0.0000 0.5000 0.5000
Tl 0.5000 0.7500 0.2500
F 0.5929 0.8885 0.8885
F 0.4071 0.2956 0.2956
F 0.0000 0.7044 0.1115
F 0.0000 0.1115 0.7044
Mn 0.0000 0.0000 0.0000